# 1
The following is a PBE-GGA calculation of crystalline Ho2Er2Hg3 at its relaxed geometry, from Alexandria.

Results
Calculated formation energy = -0.32 eV/atom

Geometry as CIF:
```
data_Ho2Er2Hg3
_chemical_formula_sum 'Ho2 Er2 Hg3'
_space_group_name_H-M_alt 'P 1'
_space_group_IT_number 1
_cell_length_a 5.149
_cell_length_b 5.150
_cell_length_c 8.922
_cell_angle_alpha 90.01
_cell_angle_beta 106.77
_cell_angle_gamma 120.00
loop_
_space_group_symop_operation_xyz
'x,y,z'
loop_
_atom_site_label
_atom_site_type_symbol
_atom_site_fract_x
_atom_site_fract_y
_atom_site_fract_z
Ho1 Ho 0.254 0.127 0.381
Ho2 Ho 0.746 0.873 0.619
Er1 Er 0.757 0.379 0.136
Er2 Er 0.243 0.621 0.864
Hg1 Hg 0.000 0.000 0.000
Hg2 Hg 0.496 0.248 0.744
Hg3 Hg 0.504 0.752 0.256
```

=====

# 2
The following is a PBE-GGA calculation of crystalline SrCa2SnTe4 at its relaxed geometry, from Alexandria.

Results
Energy relative to the elements, uncorrected = -1008 kJ/mol of formula units

Geometry as CIF:
```
data_SrCa2SnTe4
_chemical_formula_sum 'Sr1 Ca2 Sn1 Te4'
_space_group_name_H-M_alt 'P 1'
_space_group_IT_number 1
_cell_length_a 4.586
_cell_length_b 7.979
_cell_length_c 7.955
_cell_angle_alpha 70.56
_cell_angle_beta 90.00
_cell_angle_gamma 90.00
loop_
_space_group_symop_operation_xyz
'x,y,z'
loop_
_atom_site_label
_atom_site_type_symbol
_atom_site_fract_x
_atom_site_fract_y
_atom_site_fract_z
Sr1 Sr 0.000 0.500 0.500
Ca1 Ca 0.000 0.000 0.000
Ca2 Ca 0.500 0.000 0.500
Sn1 Sn 0.500 0.500 0.000
Te1 Te 0.000 0.756 0.753
Te2 Te 0.000 0.244 0.247
Te3 Te 0.500 0.760 0.242
Te4 Te 0.500 0.240 0.758
```

=====

# 3
The following is a PBE-GGA calculation of crystalline PmH8Rh3Au2 at its relaxed geometry, from Alexandria.

Results
E_tot = -61.93 eV/cell

Geometry as CIF:
```
data_PmH8Rh3Au2
_chemical_formula_sum 'Pm1 H8 Rh3 Au2'
_space_group_name_H-M_alt 'P 1'
_space_group_IT_number 1
_cell_length_a 5.801
_cell_length_b 5.801
_cell_length_c 5.845
_cell_angle_alpha 60.25
_cell_angle_beta 60.25
_cell_angle_gamma 60.00
loop_
_space_group_symop_operation_xyz
'x,y,z'
loop_
_atom_site_label
_atom_site_type_symbol
_atom_site_fract_x
_atom_site_fract_y
_atom_site_fract_z
Pm1 Pm 0.881 0.881 0.357
H1 H 0.274 0.274 0.178
H2 H 0.723 0.723 0.832
H3 H 0.193 0.193 0.883
H4 H 0.731 0.193 0.883
H5 H 0.193 0.731 0.883
H6 H 0.740 0.357 0.162
H7 H 0.357 0.740 0.162
H8 H 0.740 0.740 0.162
Rh1 Rh 0.505 0.009 0.980
Rh2 Rh 0.009 0.505 0.980
Rh3 Rh 0.505 0.505 0.980
Au1 Au 0.142 0.142 0.574
Au2 Au 0.498 0.498 0.506
```

=====

# 4
The following is a PBE-GGA calculation of crystalline MgGe2Au6 at its relaxed geometry, from Alexandria.

Results
Calculated formation energy = -0.11 eV/atom

Geometry as CIF:
```
data_MgGe2Au6
_chemical_formula_sum 'Mg1 Ge2 Au6'
_space_group_name_H-M_alt 'P 1'
_space_group_IT_number 1
_cell_length_a 4.888
_cell_length_b 6.094
_cell_length_c 6.651
_cell_angle_alpha 76.15
_cell_angle_beta 68.44
_cell_angle_gamma 66.36
loop_
_space_group_symop_operation_xyz
'x,y,z'
loop_
_atom_site_label
_atom_site_type_symbol
_atom_site_fract_x
_atom_site_fract_y
_atom_site_fract_z
Mg1 Mg 0.000 0.500 0.500
Ge1 Ge 0.147 0.690 0.016
Ge2 Ge 0.853 0.310 0.984
Au1 Au 0.173 0.012 0.641
Au2 Au 0.320 0.201 0.159
Au3 Au 0.680 0.799 0.841
Au4 Au 0.497 0.323 0.682
Au5 Au 0.503 0.677 0.318
Au6 Au 0.827 0.988 0.359
```

=====

# 5
The following is a PBE-GGA calculation of crystalline HoTm5Sb4 at its relaxed geometry, from Alexandria.

Results
Energy relative to the elements, uncorrected = -642 kJ/mol of formula units

Geometry as CIF:
```
data_HoTm5Sb4
_chemical_formula_sum 'Ho1 Tm5 Sb4'
_space_group_name_H-M_alt 'P 1'
_space_group_IT_number 1
_cell_length_a 4.261
_cell_length_b 8.303
_cell_length_c 9.453
_cell_angle_alpha 105.64
_cell_angle_beta 103.02
_cell_angle_gamma 90.00
loop_
_space_group_symop_operation_xyz
'x,y,z'
loop_
_atom_site_label
_atom_site_type_symbol
_atom_site_fract_x
_atom_site_fract_y
_atom_site_fract_z
Ho1 Ho 0.500 0.000 0.000
Tm1 Tm 0.819 0.650 0.638
Tm2 Tm 0.838 0.184 0.676
Tm3 Tm 0.162 0.816 0.324
Tm4 Tm 0.500 0.500 0.000
Tm5 Tm 0.181 0.350 0.362
Sb1 Sb 0.330 0.917 0.660
Sb2 Sb 0.990 0.739 0.980
Sb3 Sb 0.670 0.083 0.340
Sb4 Sb 0.010 0.261 0.020
```

=====

# 6
The following is a PBE-GGA calculation of crystalline BaCuRhO3 at its relaxed geometry, from Alexandria.

Results
Energy relative to the elements, uncorrected = -604 kJ/mol of formula units

Geometry as CIF:
```
data_BaCuRhO3
_chemical_formula_sum 'Ba2 Cu2 Rh2 O6'
_space_group_name_H-M_alt 'P 1'
_space_group_IT_number 1
_cell_length_a 5.637
_cell_length_b 5.648
_cell_length_c 6.149
_cell_angle_alpha 117.34
_cell_angle_beta 90.00
_cell_angle_gamma 90.00
loop_
_space_group_symop_operation_xyz
'x,y,z'
loop_
_atom_site_label
_atom_site_type_symbol
_atom_site_fract_x
_atom_site_fract_y
_atom_site_fract_z
Ba1 Ba 0.750 0.220 0.440
Ba2 Ba 0.250 0.780 0.560
Cu1 Cu 0.250 0.078 0.157
Cu2 Cu 0.750 0.922 0.843
Rh1 Rh 0.250 0.470 0.940
Rh2 Rh 0.750 0.530 0.060
O1 O 0.250 0.257 0.515
O2 O 0.000 0.238 0.000
O3 O 0.500 0.762 0.000
O4 O 0.500 0.238 0.000
O5 O 0.000 0.762 0.000
O6 O 0.750 0.743 0.485
```

=====

# 7
The following is a PBE-GGA calculation of crystalline MoPt2 at its relaxed geometry, from Alexandria.

Results
Calculated formation energy = -0.18 eV/atom
Distance to the lowest polymorph of the same formula = 195 meV per atom

Geometry as CIF:
```
data_MoPt2
_chemical_formula_sum 'Mo1 Pt2'
_space_group_name_H-M_alt 'P 1'
_space_group_IT_number 1
_cell_length_a 2.809
_cell_length_b 2.809
_cell_length_c 6.867
_cell_angle_alpha 90.00
_cell_angle_beta 90.00
_cell_angle_gamma 120.00
loop_
_space_group_symop_operation_xyz
'x,y,z'
loop_
_atom_site_label
_atom_site_type_symbol
_atom_site_fract_x
_atom_site_fract_y
_atom_site_fract_z
Mo1 Mo 0.000 0.000 0.000
Pt1 Pt 0.333 0.667 0.676
Pt2 Pt 0.667 0.333 0.324
```

=====

# 8
The following is a PBE-GGA calculation of crystalline CePr2Hg8 at its relaxed geometry, from Alexandria.

Results
Calculated formation energy = -0.33 eV/atom
Distance to the lowest polymorph of the same formula = 0 meV per atom

Geometry as CIF:
```
data_CePr2Hg8
_chemical_formula_sum 'Ce1 Pr2 Hg8'
_space_group_name_H-M_alt 'P 1'
_space_group_IT_number 1
_cell_length_a 5.141
_cell_length_b 7.371
_cell_length_c 8.530
_cell_angle_alpha 109.27
_cell_angle_beta 107.54
_cell_angle_gamma 90.00
loop_
_space_group_symop_operation_xyz
'x,y,z'
loop_
_atom_site_label
_atom_site_type_symbol
_atom_site_fract_x
_atom_site_fract_y
_atom_site_fract_z
Ce1 Ce 0.500 0.000 0.000
Pr1 Pr 0.793 0.350 0.586
Pr2 Pr 0.207 0.650 0.414
Hg1 Hg 0.407 0.543 0.815
Hg2 Hg 0.672 0.899 0.343
Hg3 Hg 0.848 0.836 0.697
Hg4 Hg 0.982 0.273 0.963
Hg5 Hg 0.152 0.164 0.303
Hg6 Hg 0.328 0.101 0.657
Hg7 Hg 0.593 0.457 0.185
Hg8 Hg 0.018 0.727 0.037
```